Below is crystalline YInW at its relaxed geometry, with properties calculated at the GGA-PBE level.

The space group is I4mm (No. 107) and the conventional cell measures 3.042, 3.042 and 14.066 Å, with angles of 90.00, 90.00 and 90.00 degrees. The inequivalent atoms are Y at (0.000, 0.000, 0.000), In at (0.000, 0.000, 0.687) and W at (0.000, 0.000, 0.338).

The formation energy is 1.06 eV/f.u. For the total energy, the calculation gives -7.03 eV per atom. The energy above the most stable polymorph in this dataset comes out at 0 meV per atom.